(1)
Density functional theory data (GGA-PBE) for a relaxed structure of Cs2GePdRu.

Cell lengths 6.2379, 4.8399, 6.2379 Å; angles 90.00, 90.00, 90.00 degrees
Atoms (fractional coordinates):
1 Cs 0.0000 0.0000 0.5000
2 Ge 0.5000 0.5000 0.5000
3 Pd 0.0000 0.5000 0.0000
4 Ru 0.0000 0.0000 0.0000
5 Cs 0.5000 0.0000 0.0000

Computed properties:
- Formation energy from the elements: 1.15 eV per atom
- Size of the total moment: 1.401 μB/cell
- SG: No. 123

***

(2)
Density functional theory data (GGA-PBE) for a relaxed structure of Cs2Ge2PdS6.

Cell lengths 7.0549, 7.0549, 8.5840 Å; angles 65.74, 65.74, 60.00 degrees
Atoms (fractional coordinates):
1 S 0.2403 0.7705 0.2186
2 S 0.2295 0.7597 0.7814
3 S 0.7705 0.2403 0.2186
4 S 0.7705 0.7705 0.2186
5 Cs 0.2185 0.2185 0.3445
6 Ge 0.3992 0.3992 0.8025
7 Ge 0.6008 0.6008 0.1975
8 S 0.7597 0.2295 0.7814
9 Pd 0.0000 0.0000 0.0000
10 S 0.2295 0.2295 0.7814
11 Cs 0.7815 0.7815 0.6555

Computed properties:
- Size of the total moment: 0.000 μB/cell
- SG: No. 166
- E_form (uncorrected): -469 meV per atom

***

(3)
Density functional theory data (GGA-PBE) for a relaxed structure of Cs2GePdS4.

Cell lengths 6.6419, 8.3653, 11.6679 Å; angles 83.51, 73.46, 66.61 degrees
Atoms (fractional coordinates):
1 Cs 0.1656 0.0000 0.6688
2 S 0.6131 0.1898 0.0623
3 S 0.1970 0.1898 0.9377
4 S 0.4254 0.6898 0.4377
5 Pd 0.7500 0.5000 0.5000
6 Ge 0.5000 0.0000 0.0000
7 Ge 0.2500 0.5000 0.5000
8 Cs 0.8344 0.0000 0.3312
9 Cs 0.5844 0.5000 0.8312
10 S 0.8848 0.6898 0.5623
11 S 0.3246 0.8102 0.0623
12 S 0.1369 0.3102 0.4377
13 Cs 0.9156 0.5000 0.1688
14 S 0.5530 0.3102 0.5623
15 S 0.8652 0.8102 0.9377
16 Pd 0.0000 0.0000 0.0000

Computed properties:
- Size of the total moment: 0.000 μB/cell
- SG: No. 70
- E_form (uncorrected): -700 meV per atom

***

(4)
Density functional theory data (GGA-PBE) for a relaxed structure of CsGe2PdSe.

Cell lengths 4.9251, 5.7686, 4.9251 Å; angles 90.00, 90.00, 90.00 degrees
Atoms (fractional coordinates):
1 Pd 0.0000 0.0000 0.0000
2 Ge 0.0000 0.0000 0.5000
3 Se 0.0000 0.5000 0.0000
4 Cs 0.5000 0.5000 0.5000
5 Ge 0.5000 0.0000 0.0000

Computed properties:
- Size of the total moment: 0.000 μB/cell
- SG: No. 123
- E_form (uncorrected): 0 meV per atom

***

(5)
Density functional theory data (GGA-PBE) for a relaxed structure of Cs2SnGePd.

Cell lengths 7.4547, 4.9882, 7.4547 Å; angles 90.00, 90.00, 90.00 degrees
Atoms (fractional coordinates):
1 Cs 0.5000 0.0000 0.0000
2 Pd 0.5000 0.5000 0.5000
3 Ge 0.0000 0.5000 0.0000
4 Cs 0.0000 0.0000 0.5000
5 Sn 0.0000 0.0000 0.0000

Computed properties:
- Formation energy from the elements: 0.54 eV per atom
- Size of the total moment: 0.000 μB/cell
- SG: No. 123

***

(6)
Density functional theory data (GGA-PBE) for a relaxed structure of Cs2GeTe4Pd.

Cell lengths 7.5573, 7.5221, 13.9722 Å; angles 82.19, 74.31, 59.84 degrees
Atoms (fractional coordinates):
1 Ge 0.5000 0.0000 0.0000
2 Te 0.8723 0.6341 0.6215
3 Te 0.2564 0.8659 0.1215
4 Te 0.5061 0.3659 0.6215
5 Te 0.1279 0.3659 0.3785
6 Cs 0.5610 0.5000 0.8780
7 Cs 0.1890 0.0000 0.6220
8 Te 0.8777 0.8659 0.8785
9 Te 0.6221 0.1341 0.1215
10 Cs 0.9390 0.5000 0.1220
11 Te 0.4936 0.6341 0.3785
12 Ge 0.2500 0.5000 0.5000
13 Cs 0.8110 0.0000 0.3780
14 Pd 0.0000 0.0000 0.0000
15 Te 0.2439 0.1341 0.8785
16 Pd 0.7500 0.5000 0.5000

Computed properties:
- Size of the total moment: 0.000 μB/cell
- SG: No. 70
- E_form (uncorrected): -525 meV per atom